Record 1
VASP calculation (PBE-GGA) on a geometry-optimized LaSi3Bi structure.

Properties
For the raw formation energy, the calculation gives 1240 meV/atom. For the calculated density, the calculation gives 4.378 g/cm³. Its energy above the most stable polymorph in this dataset is 371.0 meV/atom.

Cell: 5.4725 5.4725 5.4725 Å, 90.00 90.00 90.00°
With the nearest neighbours (Å) after each atom.
Sites, in units of the cell vectors:
1 La 0.0000 0.0000 0.0000  6 Si 2.74
2 Si 0.0000 0.0000 0.5000  2 La 2.74
3 Si 0.0000 0.5000 0.0000  2 La 2.74
4 Si 0.5000 0.0000 0.0000  2 La 2.74
5 Bi 0.5000 0.5000 0.5000  12 Si 3.87

Record 2
VASP calculation (PBE-GGA) on a geometry-optimized La2SiBi2 structure.

Properties
For the raw formation energy, the calculation gives -463 meV/atom. For the calculated density, the calculation gives 7.315 g/cm³.

Cell: 8.2095 8.2095 4.8760 Å, 90.00 90.00 90.00°
With the nearest neighbours (Å) after each atom.
Sites, in units of the cell vectors:
1 La 0.1767 0.3233 0.0000  2 Si 3.02, 2 Bi 3.29
2 La 0.3233 0.8233 0.0000  2 Si 3.02, 2 Bi 3.29
3 La 0.6767 0.1767 0.0000  2 Si 3.02, 2 Bi 3.29
4 La 0.8233 0.6767 0.0000  2 Si 3.02, 2 Bi 3.29
5 Si 0.0000 0.0000 0.0000  4 La 3.02
6 Si 0.5000 0.5000 0.0000  4 La 3.02
7 Bi 0.1327 0.6327 0.5000  1 Bi 3.08, 2 La 3.29
8 Bi 0.3673 0.1327 0.5000  1 Bi 3.08, 2 La 3.29
9 Bi 0.6327 0.8673 0.5000  1 Bi 3.08, 2 La 3.29
10 Bi 0.8673 0.3673 0.5000  1 Bi 3.08, 2 La 3.29

Record 3
VASP calculation (PBE-GGA) on a geometry-optimized La4SiBi structure.

Properties
For the raw formation energy, the calculation gives -483 meV/atom. For the calculated density, the calculation gives 6.798 g/cm³.

Cell: 4.7486 4.7486 9.0466 Å, 90.06 90.06 71.66°
With the nearest neighbours (Å) after each atom.
Sites, in units of the cell vectors:
1 La 0.1273 0.1273 0.1700  1 Si 3.14, 3 Bi 3.26-3.32, 2 La 3.33
2 La 0.3577 0.3577 0.6285  3 Si 2.99-3.21, 3 La 3.20-3.33
3 La 0.6423 0.6423 0.3715  3 Si 2.99-3.21, 3 La 3.20-3.33
4 La 0.8727 0.8727 0.8300  1 Si 3.14, 3 Bi 3.26-3.32, 2 La 3.33
5 Si 0.0000 0.0000 0.5000  8 La 2.99-3.21
6 Bi 0.5000 0.5000 0.0000  8 La 3.26-3.53

Record 4
VASP calculation (PBE-GGA) on a geometry-optimized LaSiBi2 structure.

Properties
For the raw formation energy, the calculation gives -164 meV/atom. For the calculated density, the calculation gives 7.996 g/cm³.

Cell: 6.9663 6.9663 6.9663 Å, 101.74 101.74 126.37°
With the nearest neighbours (Å) after each atom.
Sites, in units of the cell vectors:
1 La 0.0000 0.0000 0.0000  2 Si 3.14, 4 Bi 3.48
2 La 0.7500 0.2500 0.5000  2 Si 3.14, 4 Bi 3.48
3 Si 0.2500 0.7500 0.5000  4 Bi 2.96, 2 La 3.14
4 Si 0.5000 0.5000 0.0000  4 Bi 2.96, 2 La 3.14
5 Bi 0.1680 0.1250 0.5430  2 Si 2.96, 2 Bi 3.23
6 Bi 0.3750 0.8320 0.9570  2 Si 2.96, 2 Bi 3.23
7 Bi 0.5820 0.6250 0.4570  2 Si 2.96, 2 Bi 3.23
8 Bi 0.8750 0.4180 0.0430  2 Si 2.96, 2 Bi 3.23

Record 5
VASP calculation (PBE-GGA) on a geometry-optimized La5Si2Bi structure.

Properties
For the raw formation energy, the calculation gives -683 meV/atom. For the calculated density, the calculation gives 6.515 g/cm³.

Cell: 9.3805 9.3805 9.3805 Å, 128.70 128.70 75.49°
With the nearest neighbours (Å) after each atom.
Sites, in units of the cell vectors:
1 La 0.0000 0.0000 0.0000  4 Si 3.24
2 La 0.0331 0.5331 0.8401  3 Si 3.14-3.16, 2 Bi 3.45
3 La 0.1929 0.0331 0.5000  3 Si 3.14-3.16, 2 Bi 3.45
4 La 0.3071 0.8071 0.8401  3 Si 3.14-3.16, 2 Bi 3.45
5 La 0.4669 0.3071 0.5000  3 Si 3.14-3.16, 2 Bi 3.45
6 La 0.5000 0.5000 0.0000  4 Si 3.24
7 La 0.5331 0.6929 0.5000  3 Si 3.14-3.16, 2 Bi 3.45
8 La 0.6929 0.1929 0.1599  3 Si 3.14-3.16, 2 Bi 3.45
9 La 0.8071 0.9669 0.5000  3 Si 3.14-3.16, 2 Bi 3.45
10 La 0.9669 0.4669 0.1599  3 Si 3.14-3.16, 2 Bi 3.45
11 Si 0.1197 0.3803 0.5000  1 Si 2.75
12 Si 0.3803 0.8803 0.2605  1 Si 2.75
13 Si 0.6197 0.1197 0.7395  1 Si 2.75
14 Si 0.8803 0.6197 0.5000  1 Si 2.75
15 Bi 0.2500 0.2500 0.0000  10 La 3.45-3.71
16 Bi 0.7500 0.7500 0.0000  10 La 3.45-3.71

Record 6
VASP calculation (PBE-GGA) on a geometry-optimized LaSi2Bi2 structure.

Properties
For the raw formation energy, the calculation gives -58 meV/atom. For the calculated density, the calculation gives 7.408 g/cm³. Its energy above the most stable polymorph in this dataset is 33.0 meV/atom.

Cell: 7.4916 7.4916 7.4916 Å, 145.03 145.03 50.29°
With the nearest neighbours (Å) after each atom.
Sites, in units of the cell vectors:
1 La 0.0000 0.0000 0.0000  8 Si 3.38
2 Si 0.4172 0.4172 0.0000  1 Si 2.25
3 Si 0.5828 0.5828 0.0000  1 Si 2.25
4 Bi 0.2500 0.7500 0.5000  4 Bi 3.18, 4 Si 3.20
5 Bi 0.7500 0.2500 0.5000  4 Bi 3.18, 4 Si 3.20

Record 7
VASP calculation (PBE-GGA) on a geometry-optimized LaSi2Bi2 structure.

Properties
For the raw formation energy, the calculation gives -91 meV/atom. For the calculated density, the calculation gives 7.642 g/cm³. Its energy above the most stable polymorph in this dataset is 0.0 meV/atom.

Cell: 7.9362 7.9362 4.2298 Å, 90.00 90.00 90.00°
With the nearest neighbours (Å) after each atom.
Sites, in units of the cell vectors:
1 La 0.0000 0.0000 0.0000  4 Si 3.24, 8 Bi 3.53
2 La 0.5000 0.5000 0.0000  4 Si 3.24, 8 Bi 3.53
3 Si 0.1058 0.3942 0.0000  1 Si 2.38
4 Si 0.3942 0.8942 0.0000  1 Si 2.38
5 Si 0.6058 0.1058 0.0000  1 Si 2.38
6 Si 0.8942 0.6058 0.0000  1 Si 2.38
7 Bi 0.2237 0.7237 0.5000  2 Si 2.85
8 Bi 0.2763 0.2237 0.5000  2 Si 2.85
9 Bi 0.7237 0.7763 0.5000  2 Si 2.85
10 Bi 0.7763 0.2763 0.5000  2 Si 2.85

Record 8
VASP calculation (PBE-GGA) on a geometry-optimized La8SiBi5 structure.

Properties
For the raw formation energy, the calculation gives -881 meV/atom. For the calculated density, the calculation gives 7.736 g/cm³.

Cell: 8.4769 8.4769 8.4769 Å, 109.73 109.73 108.96°
With the nearest neighbours (Å) after each atom.
Sites, in units of the cell vectors:
1 La 0.1204 0.2259 0.7566  5 Bi 3.28-3.57, 1 Si 3.43, 2 La 3.62-3.66
2 La 0.1229 0.7494 0.7706  1 Si 3.07, 2 Bi 3.28-3.30
3 La 0.2506 0.0212 0.3735  1 Si 3.07, 2 Bi 3.28-3.30
4 La 0.4693 0.3637 0.2434  5 Bi 3.28-3.57, 1 Si 3.43, 2 La 3.62-3.66
5 La 0.6363 0.8796 0.1056  5 Bi 3.28-3.57, 1 Si 3.43, 2 La 3.62-3.66
6 La 0.6477 0.8771 0.6265  1 Si 3.07, 2 Bi 3.28-3.30
7 La 0.7741 0.5307 0.8944  5 Bi 3.28-3.57, 1 Si 3.43, 2 La 3.62-3.66
8 La 0.9788 0.3523 0.2294  1 Si 3.07, 2 Bi 3.28-3.30
9 Si 0.0000 0.0000 0.0000  8 La 3.07-3.43
10 Bi 0.2607 0.6329 0.1350  8 La 3.28-3.60
11 Bi 0.3671 0.5021 0.6278  8 La 3.28-3.60
12 Bi 0.4979 0.1258 0.8650  8 La 3.28-3.60
13 Bi 0.7500 0.2500 0.5000  8 La 3.28-3.61
14 Bi 0.8742 0.7393 0.3722  8 La 3.28-3.60